# 1
# TbCe3Dy3S8 (PBE, optimized geometry)
data_TbCe3Dy3S8
_cell_length_a 7.8844
_cell_length_b 7.8844
_cell_length_c 19.6325
_cell_angle_alpha 90.00
_cell_angle_beta 90.00
_cell_angle_gamma 120.00
_symmetry_space_group_name_H-M 'R -3 m'
_symmetry_Int_Tables_number 166
_symmetry_space_group_name_Hall '-R 3 2"'
loop_
_atom_site_label
_atom_site_type_symbol
_atom_site_fract_x
_atom_site_fract_y
_atom_site_fract_z
Tb1 Tb 0.0000 0.0000 0.0000
Ce1 Ce 0.0000 0.5000 0.5000
Dy1 Dy 0.0000 0.5000 0.0000
S1 S 0.0000 0.0000 0.2539
S2 S 0.0027 0.5014 0.2532
# Uncorrected energy in eV/atom: -6.67
# V in Å³/atom: 23.5

# 2
# TbCe4Dy3S8 (PBE, optimized geometry)
data_TbCe4Dy3S8
_cell_length_a 7.9033
_cell_length_b 7.9033
_cell_length_c 19.5917
_cell_angle_alpha 90.00
_cell_angle_beta 90.00
_cell_angle_gamma 120.00
_symmetry_space_group_name_H-M 'R -3 m'
_symmetry_Int_Tables_number 166
_symmetry_space_group_name_Hall '-R 3 2"'
loop_
_atom_site_label
_atom_site_type_symbol
_atom_site_fract_x
_atom_site_fract_y
_atom_site_fract_z
Tb1 Tb 0.0000 0.0000 0.0000
Ce1 Ce 0.0000 0.0000 0.5000
Ce2 Ce 0.0000 0.5000 0.5000
Dy1 Dy 0.0000 0.5000 0.0000
S1 S 0.0000 0.0000 0.2539
S2 S 0.0010 0.5005 0.2536
# Uncorrected energy in eV/atom: -6.73
# V in Å³/atom: 22.1

# 3
# TbCeDy2S6 (PBE, optimized geometry)
data_TbCeDy2S6
_cell_length_a 7.0013
_cell_length_b 7.0013
_cell_length_c 18.5929
_cell_angle_alpha 90.00
_cell_angle_beta 90.00
_cell_angle_gamma 120.00
_symmetry_space_group_name_H-M 'R 3'
_symmetry_Int_Tables_number 146
_symmetry_space_group_name_Hall 'R 3'
loop_
_atom_site_label
_atom_site_type_symbol
_atom_site_fract_x
_atom_site_fract_y
_atom_site_fract_z
Tb1 Tb 0.0000 0.0000 0.0000
Ce1 Ce 0.0000 0.0000 0.4959
Dy1 Dy 0.0000 0.0000 0.2027
Dy2 Dy 0.0000 0.0000 0.6999
S1 S 0.0334 0.3618 0.2691
S2 S 0.0490 0.6860 0.7687
# Uncorrected energy in eV/atom: -6.48
# V in Å³/atom: 26.3

# 4
# Tb2Ce3DyS6 (PBE, optimized geometry)
data_Tb2Ce3DyS6
_cell_length_a 6.849
_cell_length_b 11.875
_cell_length_c 6.936
_cell_angle_alpha 90.00
_cell_angle_beta 109.26
_cell_angle_gamma 90.00
_symmetry_space_group_name_H-M 'C 1 2/m 1'
_symmetry_Int_Tables_number 12
loop_
_symmetry_equiv_pos_as_xyz
'x,y,z'
'-x,-y,-z'
'-x,y,-z'
'x,-y,z'
'x+1/2,y+1/2,z'
'-x+1/2,-y+1/2,-z'
'-x+1/2,y+1/2,-z'
'x+1/2,-y+1/2,z'
loop_
_atom_site_label
_atom_site_type_symbol
_atom_site_fract_x
_atom_site_fract_y
_atom_site_fract_z
Tb1 Tb 0.000 0.167 0.000
Ce1 Ce 0.000 0.000 0.500
Ce2 Ce 0.000 0.333 0.500
Dy1 Dy 0.000 0.500 0.000
S1 S 0.246 0.334 0.239
S2 S 0.248 0.000 0.240
# Uncorrected energy in eV/atom: -6.74
# V in Å³/atom: 22.2

# 5
# Tb4CeDy3S8 (PBE, optimized geometry)
data_Tb4CeDy3S8
_cell_length_a 7.8620
_cell_length_b 7.8620
_cell_length_c 19.2406
_cell_angle_alpha 90.00
_cell_angle_beta 90.00
_cell_angle_gamma 120.00
_symmetry_space_group_name_H-M 'R -3 m'
_symmetry_Int_Tables_number 166
_symmetry_space_group_name_Hall '-R 3 2"'
loop_
_atom_site_label
_atom_site_type_symbol
_atom_site_fract_x
_atom_site_fract_y
_atom_site_fract_z
Tb1 Tb 0.0000 0.0000 0.0000
Tb2 Tb 0.0000 0.5000 0.0000
Ce1 Ce 0.0000 0.0000 0.5000
Dy1 Dy 0.0000 0.5000 0.5000
S1 S 0.0000 0.0000 0.2493
S2 S 0.0040 0.5020 0.7497
# Uncorrected energy in eV/atom: -6.46
# V in Å³/atom: 21.5

# 6
# Tb4Ce3DyS8 (PBE, optimized geometry)
data_Tb4Ce3DyS8
_cell_length_a 7.9125
_cell_length_b 7.9125
_cell_length_c 19.4327
_cell_angle_alpha 90.00
_cell_angle_beta 90.00
_cell_angle_gamma 120.00
_symmetry_space_group_name_H-M 'R -3 m'
_symmetry_Int_Tables_number 166
_symmetry_space_group_name_Hall '-R 3 2"'
loop_
_atom_site_label
_atom_site_type_symbol
_atom_site_fract_x
_atom_site_fract_y
_atom_site_fract_z
Tb1 Tb 0.0000 0.0000 0.0000
Tb2 Tb 0.0000 0.5000 0.0000
Ce1 Ce 0.0000 0.5000 0.5000
Dy1 Dy 0.0000 0.0000 0.5000
S1 S 0.0000 0.0000 0.2531
S2 S 0.0048 0.5024 0.2517
# Uncorrected energy in eV/atom: -6.65
# V in Å³/atom: 22.0

# 7
# TbCe2DyS5 (PBE, optimized geometry)
data_TbCe2DyS5
_cell_length_a 4.947
_cell_length_b 4.947
_cell_length_c 10.316
_cell_angle_alpha 90.00
_cell_angle_beta 90.00
_cell_angle_gamma 90.00
_symmetry_space_group_name_H-M 'P 4/m m m'
_symmetry_Int_Tables_number 123
_symmetry_space_group_name_Hall '-P 4 2'
loop_
_atom_site_label
_atom_site_type_symbol
_atom_site_fract_x
_atom_site_fract_y
_atom_site_fract_z
Tb1 Tb 0.000 0.000 0.000
Ce1 Ce 0.500 0.500 0.200
Dy1 Dy 0.000 0.000 0.500
S1 S 0.000 0.000 0.256
S2 S 0.000 0.500 0.000
S3 S 0.500 0.500 0.500
# Uncorrected energy in eV/atom: -6.09
# V in Å³/atom: 28.0

# 8
# TbCe3Dy2S6 (PBE, optimized geometry)
data_TbCe3Dy2S6
_cell_length_a 6.842
_cell_length_b 11.860
_cell_length_c 6.932
_cell_angle_alpha 90.00
_cell_angle_beta 109.25
_cell_angle_gamma 90.00
_symmetry_space_group_name_H-M 'C 1 2/m 1'
_symmetry_Int_Tables_number 12
loop_
_symmetry_equiv_pos_as_xyz
'x,y,z'
'-x,-y,-z'
'-x,y,-z'
'x,-y,z'
'x+1/2,y+1/2,z'
'-x+1/2,-y+1/2,-z'
'-x+1/2,y+1/2,-z'
'x+1/2,-y+1/2,z'
loop_
_atom_site_label
_atom_site_type_symbol
_atom_site_fract_x
_atom_site_fract_y
_atom_site_fract_z
Tb1 Tb 0.000 0.000 0.000
Ce1 Ce 0.000 0.166 0.500
Ce2 Ce 0.000 0.500 0.500
Dy1 Dy 0.000 0.333 0.000
S1 S 0.245 0.500 0.238
S2 S 0.247 0.167 0.239
# Uncorrected energy in eV/atom: -6.73
# V in Å³/atom: 22.1

# 9
# TbCeDyS3 (PBE, optimized geometry)
data_TbCeDyS3
_cell_length_a 6.826
_cell_length_b 3.865
_cell_length_c 10.369
_cell_angle_alpha 90.00
_cell_angle_beta 102.61
_cell_angle_gamma 90.00
_symmetry_space_group_name_H-M 'P 1 21/m 1'
_symmetry_Int_Tables_number 11
loop_
_symmetry_equiv_pos_as_xyz
'x,y,z'
'-x,-y,-z'
'-x,y+1/2,-z'
'x,-y+1/2,z'
loop_
_atom_site_label
_atom_site_type_symbol
_atom_site_fract_x
_atom_site_fract_y
_atom_site_fract_z
Tb1 Tb 0.127 0.250 0.133
Ce1 Ce 0.348 0.250 0.805
Dy1 Dy 0.232 0.750 0.444
S1 S 0.054 0.750 0.657
S2 S 0.275 0.750 0.997
S3 S 0.453 0.250 0.339
# Uncorrected energy in eV/atom: -6.53
# V in Å³/atom: 22.2

# 10
# TbCe2Dy3S6 (PBE, optimized geometry)
data_TbCe2Dy3S6
_cell_length_a 6.817
_cell_length_b 11.824
_cell_length_c 6.870
_cell_angle_alpha 90.00
_cell_angle_beta 109.42
_cell_angle_gamma 90.00
_symmetry_space_group_name_H-M 'C 1 2/m 1'
_symmetry_Int_Tables_number 12
loop_
_symmetry_equiv_pos_as_xyz
'x,y,z'
'-x,-y,-z'
'-x,y,-z'
'x,-y,z'
'x+1/2,y+1/2,z'
'-x+1/2,-y+1/2,-z'
'-x+1/2,y+1/2,-z'
'x+1/2,-y+1/2,z'
loop_
_atom_site_label
_atom_site_type_symbol
_atom_site_fract_x
_atom_site_fract_y
_atom_site_fract_z
Tb1 Tb 0.000 0.000 0.000
Ce1 Ce 0.000 0.334 0.000
Dy1 Dy 0.000 0.167 0.500
Dy2 Dy 0.000 0.500 0.500
S1 S 0.243 0.000 0.742
S2 S 0.249 0.335 0.742
# Uncorrected energy in eV/atom: -6.61
# V in Å³/atom: 21.8

# 11
# Tb3CeDy4S8 (PBE, optimized geometry)
data_Tb3CeDy4S8
_cell_length_a 7.8508
_cell_length_b 7.8508
_cell_length_c 19.2519
_cell_angle_alpha 90.00
_cell_angle_beta 90.00
_cell_angle_gamma 120.00
_symmetry_space_group_name_H-M 'R -3 m'
_symmetry_Int_Tables_number 166
_symmetry_space_group_name_Hall '-R 3 2"'
loop_
_atom_site_label
_atom_site_type_symbol
_atom_site_fract_x
_atom_site_fract_y
_atom_site_fract_z
Tb1 Tb 0.0000 0.5000 0.0000
Ce1 Ce 0.0000 0.0000 0.0000
Dy1 Dy 0.0000 0.0000 0.5000
Dy2 Dy 0.0000 0.5000 0.5000
S1 S 0.0000 0.0000 0.2493
S2 S 0.0031 0.5015 0.2485
# Uncorrected energy in eV/atom: -6.46
# V in Å³/atom: 21.4

# 12
# CeDyTe2S (PBE, optimized geometry)
data_CeDyTe2S
_cell_length_a 4.417
_cell_length_b 4.417
_cell_length_c 15.433
_cell_angle_alpha 90.00
_cell_angle_beta 90.00
_cell_angle_gamma 90.00
_symmetry_space_group_name_H-M 'P 4/n m m'
_symmetry_Int_Tables_number 129
loop_
_symmetry_equiv_pos_as_xyz
'x,y,z'
'-x,-y,-z'
'-y+1/2,x,z'
'y+1/2,-x,-z'
'-x+1/2,-y+1/2,z'
'x+1/2,y+1/2,-z'
'y,-x+1/2,z'
'-y,x+1/2,-z'
'x+1/2,-y,-z'
'-x+1/2,y,z'
'-y,-x,-z'
'y,x,z'
'-x,y+1/2,-z'
'x,-y+1/2,z'
'y+1/2,x+1/2,-z'
'-y+1/2,-x+1/2,z'
loop_
_atom_site_label
_atom_site_type_symbol
_atom_site_fract_x
_atom_site_fract_y
_atom_site_fract_z
Ce1 Ce 0.250 0.250 0.107
Dy1 Dy 0.250 0.250 0.605
Te1 Te 0.250 0.250 0.400
Te2 Te 0.250 0.250 0.798
S1 S 0.250 0.750 0.000
# Uncorrected energy in eV/atom: -5.70
# V in Å³/atom: 30.1

# 13
# CeDyTeS (PBE, optimized geometry)
data_CeDyTeS
_cell_length_a 4.0118
_cell_length_b 4.0118
_cell_length_c 22.9284
_cell_angle_alpha 90.00
_cell_angle_beta 90.00
_cell_angle_gamma 120.00
_symmetry_space_group_name_H-M 'R 3 m'
_symmetry_Int_Tables_number 160
_symmetry_space_group_name_Hall 'R 3 -2"'
loop_
_atom_site_label
_atom_site_type_symbol
_atom_site_fract_x
_atom_site_fract_y
_atom_site_fract_z
Ce1 Ce 0.0000 0.0000 0.0000
Dy1 Dy 0.0000 0.0000 0.1542
Te1 Te 0.0000 0.0000 0.5730
S1 S 0.0000 0.0000 0.7496
# Uncorrected energy in eV/atom: -5.97
# V in Å³/atom: 26.6

# 14
# Ce2DyTe2S2 (PBE, optimized geometry)
data_Ce2DyTe2S2
_cell_length_a 5.093
_cell_length_b 5.093
_cell_length_c 16.105
_cell_angle_alpha 90.00
_cell_angle_beta 90.00
_cell_angle_gamma 90.00
_symmetry_space_group_name_H-M 'I 4/m m m'
_symmetry_Int_Tables_number 139
_symmetry_space_group_name_Hall '-I 4 2'
loop_
_atom_site_label
_atom_site_type_symbol
_atom_site_fract_x
_atom_site_fract_y
_atom_site_fract_z
Ce1 Ce 0.000 0.000 0.115
Dy1 Dy 0.000 0.000 0.500
Te1 Te 0.000 0.000 0.314
S1 S 0.000 0.500 0.000
# Uncorrected energy in eV/atom: -5.94
# V in Å³/atom: 29.8

# 15
# Ce3DyTh3S8 (PBE, optimized geometry)
data_Ce3DyTh3S8
_cell_length_a 8.0323
_cell_length_b 8.0323
_cell_length_c 19.6029
_cell_angle_alpha 90.00
_cell_angle_beta 90.00
_cell_angle_gamma 120.00
_symmetry_space_group_name_H-M 'R -3 m'
_symmetry_Int_Tables_number 166
_symmetry_space_group_name_Hall '-R 3 2"'
loop_
_atom_site_label
_atom_site_type_symbol
_atom_site_fract_x
_atom_site_fract_y
_atom_site_fract_z
Ce1 Ce 0.0000 0.5000 0.0000
Dy1 Dy 0.0000 0.0000 0.5000
Th1 Th 0.0000 0.5000 0.5000
S1 S 0.0000 0.0000 0.2510
S2 S 0.0046 0.5023 0.2492
# Uncorrected energy in eV/atom: -7.15
# V in Å³/atom: 24.3

# 16
# Ce4DyTh3S8 (PBE, optimized geometry)
data_Ce4DyTh3S8
_cell_length_a 8.0449
_cell_length_b 8.0449
_cell_length_c 19.6275
_cell_angle_alpha 90.00
_cell_angle_beta 90.00
_cell_angle_gamma 120.00
_symmetry_space_group_name_H-M 'R -3 m'
_symmetry_Int_Tables_number 166
_symmetry_space_group_name_Hall '-R 3 2"'
loop_
_atom_site_label
_atom_site_type_symbol
_atom_site_fract_x
_atom_site_fract_y
_atom_site_fract_z
Ce1 Ce 0.0000 0.0000 0.0000
Ce2 Ce 0.0000 0.5000 0.0000
Dy1 Dy 0.0000 0.0000 0.5000
Th1 Th 0.0000 0.5000 0.5000
S1 S 0.0000 0.0000 0.2510
S2 S 0.0072 0.5036 0.2491
# Uncorrected energy in eV/atom: -7.19
# V in Å³/atom: 22.9

# 17
# CeDy2ThS4 (PBE, optimized geometry)
data_CeDy2ThS4
_cell_length_a 6.804
_cell_length_b 3.939
_cell_length_c 6.979
_cell_angle_alpha 90.00
_cell_angle_beta 109.01
_cell_angle_gamma 90.00
_symmetry_space_group_name_H-M 'P 1 2/m 1'
_symmetry_Int_Tables_number 10
loop_
_symmetry_equiv_pos_as_xyz
'x,y,z'
'-x,-y,-z'
'-x,y,-z'
'x,-y,z'
loop_
_atom_site_label
_atom_site_type_symbol
_atom_site_fract_x
_atom_site_fract_y
_atom_site_fract_z
Ce1 Ce 0.000 0.000 0.000
Dy1 Dy 0.000 0.500 0.500
Dy2 Dy 0.500 0.000 0.500
Th1 Th 0.500 0.500 0.000
S1 S 0.245 0.000 0.736
S2 S 0.253 0.500 0.263
# Uncorrected energy in eV/atom: -6.85
# V in Å³/atom: 22.1

# 18
# Ce3DyTh4S8 (PBE, optimized geometry)
data_Ce3DyTh4S8
_cell_length_a 7.9825
_cell_length_b 7.9825
_cell_length_c 19.9387
_cell_angle_alpha 90.00
_cell_angle_beta 90.00
_cell_angle_gamma 120.00
_symmetry_space_group_name_H-M 'R -3 m'
_symmetry_Int_Tables_number 166
_symmetry_space_group_name_Hall '-R 3 2"'
loop_
_atom_site_label
_atom_site_type_symbol
_atom_site_fract_x
_atom_site_fract_y
_atom_site_fract_z
Ce1 Ce 0.0000 0.5000 0.0000
Dy1 Dy 0.0000 0.0000 0.0000
Th1 Th 0.0000 0.0000 0.5000
Th2 Th 0.0000 0.5000 0.5000
S1 S 0.0000 0.0000 0.2512
S2 S 0.0053 0.5027 0.7475
# Uncorrected energy in eV/atom: -7.26
# V in Å³/atom: 22.9

# 19
# Ce3Dy2ThS6 (PBE, optimized geometry)
data_Ce3Dy2ThS6
_cell_length_a 6.910
_cell_length_b 11.968
_cell_length_c 6.908
_cell_angle_alpha 90.00
_cell_angle_beta 109.48
_cell_angle_gamma 90.00
_symmetry_space_group_name_H-M 'C 1 2/m 1'
_symmetry_Int_Tables_number 12
loop_
_symmetry_equiv_pos_as_xyz
'x,y,z'
'-x,-y,-z'
'-x,y,-z'
'x,-y,z'
'x+1/2,y+1/2,z'
'-x+1/2,-y+1/2,-z'
'-x+1/2,y+1/2,-z'
'x+1/2,-y+1/2,z'
loop_
_atom_site_label
_atom_site_type_symbol
_atom_site_fract_x
_atom_site_fract_y
_atom_site_fract_z
Ce1 Ce 0.000 0.000 0.000
Ce2 Ce 0.000 0.336 0.000
Dy1 Dy 0.000 0.167 0.500
Th1 Th 0.000 0.500 0.500
S1 S 0.239 0.000 0.741
S2 S 0.248 0.170 0.256
# Uncorrected energy in eV/atom: -6.93
# V in Å³/atom: 22.4

# 20
# CeDy3Th4S8 (PBE, optimized geometry)
data_CeDy3Th4S8
_cell_length_a 7.8596
_cell_length_b 7.8596
_cell_length_c 20.1051
_cell_angle_alpha 90.00
_cell_angle_beta 90.00
_cell_angle_gamma 120.00
_symmetry_space_group_name_H-M 'R -3 m'
_symmetry_Int_Tables_number 166
_symmetry_space_group_name_Hall '-R 3 2"'
loop_
_atom_site_label
_atom_site_type_symbol
_atom_site_fract_x
_atom_site_fract_y
_atom_site_fract_z
Ce1 Ce 0.0000 0.0000 0.0000
Dy1 Dy 0.0000 0.5000 0.0000
Th1 Th 0.0000 0.0000 0.5000
Th2 Th 0.0000 0.5000 0.5000
S1 S 0.0000 0.0000 0.2553
S2 S 0.0050 0.5025 0.2541
# Uncorrected energy in eV/atom: -7.08
# V in Å³/atom: 22.4